Entry 1:
A geometry-optimized Na4Bi3S8 structure. Source: Alexandria, functional PBE.

Properties
- magnetization (μB per formula unit) = 2.20

abc: 7.9731 8.0648 8.0648
angles: 90.05 120.20 120.20
Last column: nearest neighbours and their distance in Å.
Fractional coordinates of all 15 atoms:
Bi 0.5000 0.5000 0.5000  6 S 2.65-2.80
Na 0.5000 0.0000 0.0000  6 S 2.90-2.95
Na 0.0000 0.5000 0.0000  6 S 2.80-2.86
S 0.0000 0.2483 0.7517  2 Bi 2.80, 3 Na 2.83-2.85
Bi 0.5000 0.5000 0.0000  6 S 2.80-2.85
S 0.5070 0.2594 0.2594  3 Bi 2.78-2.85, 2 Na 2.84-2.92
S 0.0000 0.7517 0.2483  2 Bi 2.80, 3 Na 2.83-2.85
S 0.9740 0.7346 0.7346  1 Bi 2.65, 4 Na 2.86-2.95
Bi 0.5000 0.0000 0.5000  6 S 2.80-2.85
S 0.5000 0.2543 0.7457  3 Na 2.80-2.90, 3 Bi 2.80-2.85
S 0.0260 0.2654 0.2654  1 Bi 2.65, 4 Na 2.86-2.95
S 0.4930 0.7406 0.7406  3 Bi 2.78-2.85, 2 Na 2.84-2.92
S 0.5000 0.7457 0.2543  3 Na 2.80-2.90, 3 Bi 2.80-2.85
Na 0.0000 0.0000 0.0000  6 S 2.83-2.88
Na 0.0000 0.0000 0.5000  6 S 2.80-2.86


Entry 2:
A geometry-optimized NaBiS2 structure. Source: Alexandria, functional PBE.

Properties
- magnetization (μB per formula unit) = 0.00

abc: 4.0323 4.0323 7.4559
angles: 74.31 74.31 60.00
Last column: nearest neighbours and their distance in Å.
Fractional coordinates of all 4 atoms:
S 0.2568 0.2568 0.2295  3 Bi 2.85, 3 Na 3.05
Na 0.4972 0.4972 0.5085  6 S 2.95-3.05
S 0.0785 0.0785 0.7646  3 Bi 2.85, 3 Na 2.95
Bi 0.6675 0.6675 0.9974  6 S 2.85


Entry 3:
A geometry-optimized NaBi4S5 structure. Source: Alexandria, functional PBE.

Properties
- magnetization (μB per formula unit) = 0.00

abc: 5.9760 7.2145 7.2145
angles: 80.12 65.53 65.53
Last column: nearest neighbours and their distance in Å.
Fractional coordinates of all 10 atoms:
Bi 0.5996 0.6056 0.1971  6 S 2.82-2.99
Bi 0.4023 0.3944 0.8029  6 S 2.82-2.99
Bi 0.7967 0.8029 0.6056  6 S 2.82-2.99
Bi 0.2052 0.1971 0.3944  6 S 2.82-2.99
S 0.9006 0.4134 0.7873  5 Bi 2.82-2.99, 1 Na 3.05
Na 0.0015 0.0000 0.0000  6 S 2.99-3.05
S 0.5012 0.0000 0.0000  4 Bi 2.90, 2 Na 2.99
S 0.6879 0.2127 0.4134  5 Bi 2.82-2.99, 1 Na 3.05
S 0.3140 0.7873 0.5866  5 Bi 2.82-2.99, 1 Na 3.05
S 0.1013 0.5866 0.2127  5 Bi 2.82-2.99, 1 Na 3.05


Entry 4:
A geometry-optimized Na3BiS4 structure. Source: Alexandria, functional PBE.

Properties
- magnetization (μB per formula unit) = 0.19

abc: 3.8595 7.0854 7.0854
angles: 106.96 90.00 90.00
Last column: nearest neighbours and their distance in Å.
Fractional coordinates of all 8 atoms:
S 0.0000 0.7673 0.7673  2 Bi 2.75, 4 Na 2.85-2.97
Na 0.5000 0.5000 0.5000  6 S 2.97-3.05
Na 0.0000 0.5000 0.0000  6 S 2.85-2.87
Bi 0.5000 0.0000 0.0000  6 S 2.65-2.75
S 0.5000 0.2324 0.7676  1 Bi 2.65, 4 Na 2.87
S 0.0000 0.2327 0.2327  2 Bi 2.75, 4 Na 2.85-2.97
Na 0.0000 0.0000 0.5000  6 S 2.85-2.87
S 0.5000 0.7676 0.2324  1 Bi 2.65, 4 Na 2.87


| no. | formation energy (no corrections) (eV/atom) |
| --- | --- |
| 1 | -0.438 |
| 2 | -0.716 |
| 3 | -0.334 |
| 4 | -0.601 |